Entry 1:
7
Lattice="-2.087 2.394 -4.751 -2.578 -3.241 -3.938 -9.815 1.057 1.408" Properties=species:S:1:pos:R:3 comment="Ac4MgHg2, optimized geometry, DFT GGA-PBE" polymorph_energy_ev_per_fu=0.46 pbc="T T T"
Ac -11.741 0.300 -5.001
Ac -7.763 -0.345 -7.074
Ac -6.716 0.554 -0.207
Ac -2.738 -0.091 -2.280
Hg -9.663 0.498 -2.378
Hg -4.817 -0.288 -4.903
Mg -7.240 0.105 -3.640

Entry 2:
5
Lattice="4.551 0.000 0.000 0.000 4.665 0.000 0.000 0.000 4.551" Properties=species:S:1:pos:R:3 comment="SrVSiNi2, optimized geometry, DFT GGA-PBE" polymorph_energy_ev_per_fu=0.00 e_form_raw_mev_per_atom=326 pbc="T T T"
Ni 2.275 0.000 0.000
Ni 0.000 0.000 2.275
Sr 2.275 2.333 2.275
V 0.000 0.000 0.000
Si 0.000 2.333 0.000

Entry 3:
The following is a DFT calculation (GGA-PBE) of a relaxed In2RuPt crystal.

```
4
Lattice="5.367 0.045 0.000 2.425 4.788 0.000 -3.896 -2.416 2.791" Properties=species:S:1:pos:R:3 pbc="T T T"
Pt 3.896 2.416 0.000
In 0.000 0.000 0.000
In 1.213 2.394 1.395
Ru 2.683 0.022 1.395
```

Number 1: total magnetic moment 0.00 μB/cell, VASP energy -2.805 eV/atom. Number 2: total magnetic moment 0.00 μB/cell, VASP energy -5.231 eV/atom. Number 3: total magnetic moment 0.72 μB/cell, VASP energy -5.211 eV/atom.